V3Si2O8, optimized geometry, DFT GGA+U; total magnetic moment = 7.00 μB/f.u.; symmetry = Cmce (64); final energy = -7.9099 eV per atom
1.0
6.085 0.000 0.000
-3.042 5.602 0.000
0.000 0.000 8.143
V Si O
6 4 16
direct
0.615 0.730 0.250
0.500 0.000 0.500
0.885 0.270 0.750
0.115 0.730 0.250
0.000 0.000 0.000
0.385 0.270 0.750
0.623 0.245 0.111
0.877 0.755 0.611
0.123 0.245 0.389
0.377 0.755 0.889
0.603 0.759 0.003
0.656 0.759 0.497
0.996 0.993 0.741
0.754 0.508 0.723
0.504 0.007 0.241
0.746 0.492 0.223
0.103 0.759 0.497
0.844 0.241 0.997
0.156 0.759 0.003
0.897 0.241 0.503
0.004 0.007 0.259
0.496 0.993 0.759
0.246 0.492 0.277
0.254 0.508 0.777
0.344 0.241 0.503
0.397 0.241 0.997